The following is a DFT calculation (PBE+U) of a relaxed NaPaMn2O6 crystal.

Computed properties:
E_tot   -234.089 eV per cell

CIF file:
```
data_NaPaMn2O6
_chemical_formula_sum 'Na3 Pa3 Mn6 O18'
_space_group_name_H-M_alt 'R 3'
_space_group_IT_number 146
_space_group_name_Hall 'R 3'
_cell_length_a 5.4725
_cell_length_b 5.4725
_cell_length_c 14.4750
_cell_angle_alpha 90.00
_cell_angle_beta 90.00
_cell_angle_gamma 120.00
loop_
_atom_site_label
_atom_site_type_symbol
_atom_site_fract_x
_atom_site_fract_y
_atom_site_fract_z
_atom_site_occupancy
Na1 Na 0.0000 0.0000 0.0000 1
Pa1 Pa 0.0000 0.0000 0.4837 1
Mn1 Mn 0.0000 0.0000 0.2716 1
Mn2 Mn 0.0000 0.0000 0.7834 1
O1 O 0.0073 0.5901 0.0469 1
O2 O 0.0226 0.3916 0.5323 1
```